Version P
Crystalline Na3Sr6Tl at its relaxed geometry. Source: the Alexandria database, functional GGA-PBE.

a b c (Å): 10.8430 6.2923 13.8036
angles (deg): 90.00 108.03 90.00
Last column: nearest neighbours and their distance in Å.
Sites, in units of the cell vectors:
Na (0.0264, 0.2500, 0.3866)  8 Sr 3.79-4.21, 2 Na 4.05
Na (0.1031, 0.7500, 0.2299)  5 Sr 3.65-3.75, 2 Na 4.05
Na (0.2674, 0.2500, 0.9723)  9 Sr 3.90-4.04, 1 Na 4.12
Na (0.7326, 0.7500, 0.0277)  9 Sr 3.90-4.04, 1 Na 4.12
Na (0.8969, 0.2500, 0.7701)  5 Sr 3.65-3.75, 2 Na 4.05
Na (0.9736, 0.7500, 0.6134)  8 Sr 3.79-4.21, 2 Na 4.05
Sr (0.0214, 0.7500, 0.9052)  6 Na 3.69-4.04
Sr (0.1816, 0.2500, 0.6729)  1 Tl 3.38, 1 Na 3.73
Sr (0.2858, 0.7500, 0.5092)  3 Tl 3.62-3.68, 1 Na 3.75, 1 Sr 3.83
Sr (0.3553, 0.2500, 0.3334)  3 Tl 3.58-3.70, 1 Sr 3.83, 1 Na 3.86
Sr (0.3738, 0.7500, 0.8335)  4 Na 3.98-4.46, 8 Sr 4.02-4.28
Sr (0.3874, 0.7500, 0.1418)  1 Tl 3.37, 1 Na 3.65
Sr (0.6126, 0.2500, 0.8582)  1 Tl 3.37, 1 Na 3.65
Sr (0.6262, 0.2500, 0.1665)  4 Na 3.98-4.46, 8 Sr 4.02-4.28
Sr (0.6447, 0.7500, 0.6666)  3 Tl 3.58-3.70, 1 Sr 3.83, 1 Na 3.86
Sr (0.7142, 0.2500, 0.4908)  3 Tl 3.62-3.68, 1 Na 3.75, 1 Sr 3.83
Sr (0.8184, 0.7500, 0.3271)  1 Tl 3.38, 1 Na 3.73
Sr (0.9786, 0.2500, 0.0948)  6 Na 3.69-4.04
Tl (0.4561, 0.2500, 0.6062)  8 Sr 3.37-3.70
Tl (0.5439, 0.7500, 0.3938)  8 Sr 3.37-3.70

SG: P2_1/m, No. 11
Total magnetization: 0.0 μB per formula unit



Version Q
Crystalline Na3Sr6Tl at its relaxed geometry. Source: the Alexandria database, functional GGA-PBE.

a b c (Å): 10.9400 13.5004 6.1979
angles (deg): 90.00 90.00 90.00
Last column: nearest neighbours and their distance in Å.
Sites, in units of the cell vectors:
Na (0.0000, 0.0000, 0.0000)  6 Sr 3.49-3.88
Na (0.1632, 0.2302, 0.5000)  3 Sr 3.63
Na (0.3368, 0.7302, 0.0000)  3 Sr 3.63
Na (0.5000, 0.5000, 0.5000)  6 Sr 3.49-3.88
Na (0.6632, 0.2698, 0.0000)  3 Sr 3.63
Na (0.8368, 0.7698, 0.5000)  3 Sr 3.63
Sr (0.0056, 0.7416, 0.0000)  1 Tl 3.26, 4 Na 3.49-3.63
Sr (0.1505, 0.5795, 0.5000)  2 Tl 3.67, 1 Sr 3.93, 1 Na 3.97
Sr (0.1890, 0.9202, 0.5000)  1 Tl 3.57, 2 Na 3.88
Sr (0.3110, 0.4202, 0.0000)  1 Tl 3.57, 2 Na 3.88
Sr (0.3495, 0.0795, 0.0000)  2 Tl 3.67, 1 Sr 3.93, 1 Na 3.97
Sr (0.4944, 0.2416, 0.5000)  1 Tl 3.26, 4 Na 3.49-3.63
Sr (0.5056, 0.7584, 0.5000)  1 Tl 3.26, 4 Na 3.49-3.63
Sr (0.6505, 0.9205, 0.0000)  2 Tl 3.67, 1 Sr 3.93, 1 Na 3.97
Sr (0.6890, 0.5798, 0.0000)  1 Tl 3.57, 2 Na 3.88
Sr (0.8110, 0.0798, 0.5000)  1 Tl 3.57, 2 Na 3.88
Sr (0.8495, 0.4205, 0.5000)  2 Tl 3.67, 1 Sr 3.93, 1 Na 3.97
Sr (0.9944, 0.2584, 0.0000)  1 Tl 3.26, 4 Na 3.49-3.63
Tl (0.0000, 0.5000, 0.0000)  4 Sr 3.26-3.57
Tl (0.5000, 0.0000, 0.5000)  4 Sr 3.26-3.57

SG: Pnnm, No. 58
Total magnetization: 0.0 μB per formula unit



Here is how they stack up, most stable first: version P, version Q.



Version P
Crystalline Na2SrTl5 at its relaxed geometry. Source: the Alexandria database, functional GGA-PBE.

a b c (Å): 9.4668 9.4668 9.4668
angles (deg): 147.91 147.91 46.02
Last column: nearest neighbours and their distance in Å.
Sites, in units of the cell vectors:
Na (0.2486, 0.2486, 0.0000)  8 Tl 3.32-3.35, 4 Na 3.70
Na (0.7514, 0.7514, 0.0000)  8 Tl 3.32-3.35, 4 Na 3.70
Sr (0.0000, 0.0000, 0.0000)  12 Tl 3.48-3.70
Tl (0.1316, 0.6316, 0.5000)  4 Na 3.32-3.35, 6 Tl 3.48-3.70, 2 Sr 3.48
Tl (0.3684, 0.8684, 0.5000)  4 Na 3.32-3.35, 6 Tl 3.48-3.70, 2 Sr 3.48
Tl (0.5000, 0.5000, 0.0000)  8 Tl 3.48, 4 Sr 3.70
Tl (0.6316, 0.1316, 0.5000)  4 Na 3.32-3.35, 6 Tl 3.48-3.70, 2 Sr 3.48
Tl (0.8684, 0.3684, 0.5000)  4 Na 3.32-3.35, 6 Tl 3.48-3.70, 2 Sr 3.48

SG: I4/mmm, No. 139
Total magnetization: 0.0 μB per formula unit



Version Q
Crystalline Na2SrTl5 at its relaxed geometry. Source: the Alexandria database, functional GGA-PBE.

a b c (Å): 8.7364 8.7364 8.7364
angles (deg): 151.85 124.48 63.40
Last column: nearest neighbours and their distance in Å.
Sites, in units of the cell vectors:
Na (0.2397, 0.2397, 0.0000)  6 Tl 3.16-3.30
Na (0.7603, 0.7603, 0.0000)  6 Tl 3.16-3.30
Sr (0.5000, 0.0000, 0.5000)  8 Tl 3.59
Tl (0.0000, 0.0000, 0.0000)  8 Tl 3.25, 2 Na 3.56
Tl (0.0982, 0.3836, 0.7146)  3 Na 3.16-3.30, 4 Tl 3.25-3.49
Tl (0.3311, 0.6164, 0.7146)  3 Na 3.16-3.30, 4 Tl 3.25-3.49
Tl (0.6689, 0.3836, 0.2854)  3 Na 3.16-3.30, 4 Tl 3.25-3.49
Tl (0.9018, 0.6164, 0.2854)  3 Na 3.16-3.30, 4 Tl 3.25-3.49

SG: Immm, No. 71
Total magnetization: 0.0 μB per formula unit



Here is how they stack up, most stable first: version P, version Q.



Version P
Crystalline NaSrV2 at its relaxed geometry. Source: the Alexandria database, functional GGA-PBE.

a b c (Å): 6.8800 6.8800 6.8800
angles (deg): 101.19 101.19 127.72
Last column: nearest neighbours and their distance in Å.
Sites, in units of the cell vectors:
Na (0.0000, 0.0000, 0.0000)  2 Sr 3.03, 4 V 3.04
Na (0.7500, 0.2500, 0.5000)  2 Sr 3.03, 4 V 3.04
Sr (0.2500, 0.7500, 0.5000)  2 Na 3.03, 4 V 3.33
Sr (0.5000, 0.5000, 0.0000)  2 Na 3.03, 4 V 3.33
V (0.1002, 0.1250, 0.4752)  2 Na 3.04, 2 V 3.06, 2 Sr 3.33
V (0.3750, 0.8998, 0.0248)  2 Na 3.04, 2 V 3.06, 2 Sr 3.33
V (0.6498, 0.6250, 0.5248)  2 Na 3.04, 2 V 3.06, 2 Sr 3.33
V (0.8750, 0.3502, 0.9752)  2 Na 3.04, 2 V 3.06, 2 Sr 3.33

SG: I-42d, No. 122
Total magnetization: 7.9 μB per formula unit



Version Q
Crystalline NaSrV2 at its relaxed geometry. Source: the Alexandria database, functional GGA-PBE.

a b c (Å): 5.4209 5.4209 5.4209
angles (deg): 60.00 60.00 60.00
Last column: nearest neighbours and their distance in Å.
Sites, in units of the cell vectors:
Na (0.0000, 0.0000, 0.0000)  8 V 3.32
Sr (0.5000, 0.5000, 0.5000)  8 V 3.32
V (0.2500, 0.2500, 0.2500)  4 Na 3.32, 4 Sr 3.32
V (0.7500, 0.7500, 0.7500)  4 Na 3.32, 4 Sr 3.32

SG: Fm-3m, No. 225
Total magnetization: 8.5 μB per formula unit



Here is how they stack up, most stable first: version Q, version P.



Version P
Crystalline NaSr2W at its relaxed geometry. Source: the Alexandria database, functional GGA-PBE.

a b c (Å): 5.7136 5.7136 5.7136
angles (deg): 60.00 60.00 60.00
Last column: nearest neighbours and their distance in Å.
Sites, in units of the cell vectors:
Na (0.0000, 0.0000, 0.0000)  8 Sr 3.50
Sr (0.2500, 0.2500, 0.2500)  4 W 3.50, 4 Na 3.50
Sr (0.7500, 0.7500, 0.7500)  4 W 3.50, 4 Na 3.50
W (0.5000, 0.5000, 0.5000)  8 Sr 3.50

SG: Fm-3m, No. 225
Total magnetization: 3.1 μB per formula unit



Version Q
Crystalline NaSr2W at its relaxed geometry. Source: the Alexandria database, functional GGA-PBE.

a b c (Å): 12.0080 12.0080 12.0080
angles (deg): 155.23 155.23 35.32
Last column: nearest neighbours and their distance in Å.
Sites, in units of the cell vectors:
Na (0.0000, 0.0000, 0.0000)  4 Sr 3.42, 4 W 3.64
Na (0.7500, 0.2500, 0.5000)  4 Sr 3.42, 4 W 3.64
Sr (0.1405, 0.6250, 0.0155)  2 W 3.36, 2 Na 3.42, 4 Sr 3.53-3.76
Sr (0.3750, 0.3905, 0.5155)  2 W 3.36, 2 Na 3.42, 4 Sr 3.53-3.76
Sr (0.6095, 0.1250, 0.9845)  2 W 3.36, 2 Na 3.42, 4 Sr 3.53-3.76
Sr (0.8750, 0.8595, 0.4845)  2 W 3.36, 2 Na 3.42, 4 Sr 3.53-3.76
W (0.2500, 0.7500, 0.5000)  4 Sr 3.36, 4 Na 3.64
W (0.5000, 0.5000, 0.0000)  4 Sr 3.36, 4 Na 3.64

SG: I-42d, No. 122
Total magnetization: 3.6 μB per formula unit



Here is how they stack up, most stable first: version P, version Q.



Version P
Crystalline NaSr3W at its relaxed geometry. Source: the Alexandria database, functional GGA-PBE.

a b c (Å): 6.1741 6.1741 6.1741
angles (deg): 90.00 90.00 90.00
Last column: nearest neighbours and their distance in Å.
Sites, in units of the cell vectors:
Na (0.0000, 0.0000, 0.0000)  6 Sr 3.09
Sr (0.0000, 0.0000, 0.5000)  2 Na 3.09
Sr (0.0000, 0.5000, 0.0000)  2 Na 3.09
Sr (0.5000, 0.0000, 0.0000)  2 Na 3.09
W (0.5000, 0.5000, 0.5000)  12 Sr 4.37

SG: Pm-3m, No. 221
Total magnetization: 4.7 μB per formula unit



Version Q
Crystalline NaSr3W at its relaxed geometry. Source: the Alexandria database, functional GGA-PBE.

a b c (Å): 5.9882 5.9882 5.9882
angles (deg): 90.00 90.00 90.00
Last column: nearest neighbours and their distance in Å.
Sites, in units of the cell vectors:
Na (0.0000, 0.0000, 0.0000)  12 Sr 4.23
Sr (0.0000, 0.5000, 0.5000)  2 W 2.99
Sr (0.5000, 0.0000, 0.5000)  2 W 2.99
Sr (0.5000, 0.5000, 0.0000)  2 W 2.99
W (0.5000, 0.5000, 0.5000)  6 Sr 2.99

SG: Pm-3m, No. 221
Total magnetization: 0.0 μB per formula unit



Here is how they stack up, most stable first: version Q, version P.



Version P
Crystalline Na3SrW at its relaxed geometry. Source: the Alexandria database, functional GGA-PBE.

a b c (Å): 6.2879 6.2879 6.2879
angles (deg): 90.00 90.00 90.00
Last column: nearest neighbours and their distance in Å.
Sites, in units of the cell vectors:
Na (0.0000, 0.0000, 0.5000)  2 Sr 3.14
Na (0.0000, 0.5000, 0.0000)  2 Sr 3.14
Na (0.5000, 0.0000, 0.0000)  2 Sr 3.14
Sr (0.0000, 0.0000, 0.0000)  6 Na 3.14
W (0.5000, 0.5000, 0.5000)  12 Na 4.45

SG: Pm-3m, No. 221
Total magnetization: 4.4 μB per formula unit



Version Q
Crystalline Na3SrW at its relaxed geometry. Source: the Alexandria database, functional GGA-PBE.

a b c (Å): 5.8936 5.8936 5.8936
angles (deg): 90.00 90.00 90.00
Last column: nearest neighbours and their distance in Å.
Sites, in units of the cell vectors:
Na (0.0000, 0.0000, 0.5000)  2 W 2.95
Na (0.0000, 0.5000, 0.0000)  2 W 2.95
Na (0.5000, 0.0000, 0.0000)  2 W 2.95
Sr (0.5000, 0.5000, 0.5000)  12 Na 4.17
W (0.0000, 0.0000, 0.0000)  6 Na 2.95

SG: Pm-3m, No. 221
Total magnetization: 4.4 μB per formula unit



Here is how they stack up, most stable first: version Q, version P.